[1]
Computed, not measured: a geometry-optimized SrSbAu structure at the PBE level of DFT.

The raw total energy is -9.98 eV per formula unit. The calculation puts the density at 8.1 g/cm3. The calculation puts the density of states at the Fermi level at 0.520 states/eV/atom.

The space group is P4/nmm (No. 129, origin choice 2) and the conventional cell measures 4.6942, 4.6942 and 7.5692 Å, with angles of 90.00, 90.00 and 90.00 degrees. The distinct sites, in fractional coordinates, are Sr at (0.2500, 0.7500, 0.0000), Sb at (0.2500, 0.2500, 0.3281) and Au at (0.2500, 0.2500, 0.7008).

=====

[2]
Computed, not measured: a geometry-optimized Cr2RhCl structure at the PBE level of DFT.

The raw total energy is -27.15 eV per formula unit. The calculation puts the density at 6.7 g/cm3. As for the excess energy over the best structure of this formula in the dataset: 86 kJ/mol of formula units. The calculation puts the density of states at the Fermi level at 1.208 states/eV/atom.

The space group is Cmm2 (No. 35) and the conventional cell measures 2.9926, 4.9257 and 8.1238 Å, with angles of 90.00, 90.00 and 90.00 degrees. The distinct sites, in fractional coordinates, are Cr at (0.0000, 0.0000, 0.0000), Cr at (0.0000, 0.5000, 0.2237), Rh at (0.0000, 0.5000, 0.7601) and Cl at (0.0000, 0.0000, 0.4555).

=====

[3]
Computed, not measured: a geometry-optimized HoSc3Se4 structure at the PBE level of DFT.

The raw total energy is -50.45 eV per formula unit. The calculation puts the density at 6.0 g/cm3. The calculation puts the density of states at the Fermi level at 0.662 states/eV/atom.

The space group is Cmmm (No. 65) and the conventional cell measures 7.8829, 11.0971 and 3.9053 Å, with angles of 90.00, 90.00 and 90.00 degrees. The distinct sites, in fractional coordinates, are Ho at (0.0000, 0.0000, 0.0000), Sc at (0.0000, 0.5000, 0.0000), Sc at (0.2500, 0.2500, 0.5000), Se at (0.0000, 0.2546, 0.0000) and Se at (0.2407, 0.5000, 0.5000).

=====

[4]
Computed, not measured: a geometry-optimized ScMoBr2 structure at the PBE level of DFT.

The raw total energy is -20.10 eV per formula unit. The calculation puts the density at 5.9 g/cm3. As for the excess energy over the best structure of this formula in the dataset: 178 kJ/mol of formula units. The calculation puts the density of states at the Fermi level at 0.689 states/eV/atom.

The space group is P2/m (No. 10) and the conventional cell measures 3.6333, 4.3608 and 5.3123 Å, with angles of 90.00, 90.45 and 90.00 degrees. The distinct sites, in fractional coordinates, are Sc at (0.0000, 0.0000, 0.0000), Mo at (0.5000, 0.0000, 0.5000) and Br at (0.2765, 0.5000, 0.2626).

=====

[5]
Computed, not measured: a geometry-optimized PrSmGeRh structure at the PBE level of DFT.

The raw total energy is -23.89 eV per formula unit. The calculation puts the density at 8.2 g/cm3. As for the excess energy over the best structure of this formula in the dataset: 68 kJ/mol of formula units. The calculation puts the density of states at the Fermi level at 0.710 states/eV/atom.

The space group is F-43m (No. 216) and the conventional cell measures 7.2330, 7.2330 and 7.2330 Å, with angles of 90.00, 90.00 and 90.00 degrees. The distinct sites, in fractional coordinates, are Pr at (0.0000, 0.0000, 0.0000), Sm at (0.0000, 0.0000, 0.5000), Ge at (0.2500, 0.2500, 0.2500) and Rh at (0.2500, 0.2500, 0.7500).

=====

[6]
Computed, not measured: a geometry-optimized CeNd2YS6 structure at the PBE level of DFT.

The raw total energy is -66.68 eV per formula unit. The calculation puts the density at 4.3 g/cm3. The calculation puts the density of states at the Fermi level at 0.502 states/eV/atom.

The space group is R3 (No. 146, hexagonal axes) and the conventional cell measures 7.1351, 7.1351 and 18.8321 Å, with angles of 90.00, 90.00 and 120.00 degrees. The distinct sites, in fractional coordinates, are Ce at (0.0000, 0.0000, 0.0000), Nd at (0.0000, 0.0000, 0.2918), Nd at (0.0000, 0.0000, 0.7940), Y at (0.0000, 0.0000, 0.4972), S at (0.0404, 0.3586, 0.5645) and S at (0.0430, 0.6699, 0.0655).

=====

[7]
Computed, not measured: a geometry-optimized CdHg2Te structure at the PBE level of DFT.

The raw total energy is -4.88 eV per formula unit. The calculation puts the density at 8.9 g/cm3. As for the excess energy over the best structure of this formula in the dataset: 16 kJ/mol of formula units. The calculation puts the density of states at the Fermi level at 0.204 states/eV/atom.

The space group is I4/mmm (No. 139) and the conventional cell measures 4.2261, 4.2261 and 13.4089 Å, with angles of 90.00, 90.00 and 90.00 degrees. The distinct sites, in fractional coordinates, are Cd at (0.0000, 0.0000, 0.0000), Hg at (0.0000, 0.5000, 0.2500) and Te at (0.0000, 0.0000, 0.5000).

=====

[8]
Computed, not measured: a geometry-optimized TaSbTe2 structure at the PBE level of DFT.

The raw total energy is -20.12 eV per formula unit. The calculation puts the density at 9.8 g/cm3. The calculation puts the density of states at the Fermi level at 0.558 states/eV/atom.

The space group is F-43m (No. 216) and the conventional cell measures 7.2257, 7.2257 and 7.2257 Å, with angles of 90.00, 90.00 and 90.00 degrees. The distinct sites, in fractional coordinates, are Ta at (0.0000, 0.0000, 0.0000), Sb at (0.2500, 0.2500, 0.7500), Te at (0.0000, 0.0000, 0.5000) and Te at (0.2500, 0.2500, 0.2500).